(1)
Computed, not measured: a crystal of InGa2As2 relaxed with PBEsol at the meta-GGA SCAN level of DFT.

Cell: 7.2232 7.2232 7.2232 Å, 147.32 147.32 46.89°
Fractional positions:
In  0.0000  0.0000  0.0000
Ga  0.2500  0.7500  0.5000
Ga  0.7500  0.2500  0.5000
As  0.3741  0.3741  0.0000
As  0.6259  0.6259  0.0000

V ... 21.89 A^3/atom
Electronic total energy ... -21.25 eV/atom
Energy of formation from the pure elements ... 0.040 eV per atom
Space-group type ... I4/mmm (139)

---

(2)
Computed, not measured: a crystal of In2GaAs3 relaxed with PBEsol at the meta-GGA SCAN level of DFT.

Cell: 9.4341 9.4341 9.4341 Å, 154.32 154.32 36.63°
Fractional positions:
In  0.1628  0.1628  0.0000
In  0.8372  0.8372  0.0000
Ga  0.5000  0.5000  0.0000
As  0.2500  0.7500  0.5000
As  0.5750  0.0750  0.5000
As  0.9250  0.4250  0.5000

V ... 26.24 A^3/atom
Electronic total energy ... -24.26 eV/atom
Energy of formation from the pure elements ... -0.313 eV per atom
Space-group type ... I-4m2 (119)

---

(3)
Computed, not measured: a crystal of InGaAsN2 relaxed with PBEsol at the meta-GGA SCAN level of DFT.

Cell: 3.8943 3.8943 5.0612 Å, 90.00 90.00 90.00°
Fractional positions:
In  0.0000  0.0000  0.0000
Ga  0.5000  0.5000  0.0000
As  0.5000  0.5000  0.5000
N  0.0000  0.5000  0.5000
N  0.5000  0.0000  0.5000

V ... 15.35 A^3/atom
Electronic total energy ... -16.51 eV/atom
Uncorrected formation energy ... 1.188 eV per atom
Space-group type ... P4/mmm (123)

---

(4)
Computed, not measured: a crystal of InGa2SbAs relaxed with PBEsol at the meta-GGA SCAN level of DFT.

Cell: 5.0324 5.0324 5.2980 Å, 90.00 90.00 90.00°
Fractional positions:
In  0.0000  0.0000  0.0000
Ga  0.0000  0.5000  0.0000
Ga  0.5000  0.0000  0.0000
Sb  0.5000  0.5000  0.5000
As  0.0000  0.0000  0.5000

V ... 26.84 A^3/atom
Electronic total energy ... -24.04 eV/atom
Uncorrected formation energy ... 0.663 eV per atom
Space-group type ... P4/mmm (123)

---

(5)
Computed, not measured: a crystal of InGaAs2Se relaxed with PBEsol at the meta-GGA SCAN level of DFT.

Cell: 5.1536 5.1536 5.2969 Å, 90.00 90.00 90.00°
Fractional positions:
In  0.0000  0.0000  0.0000
Ga  0.5000  0.5000  0.5000
As  0.0000  0.5000  0.0000
As  0.5000  0.0000  0.0000
Se  0.0000  0.0000  0.5000

V ... 28.14 A^3/atom
Electronic total energy ... -21.31 eV/atom
Uncorrected formation energy ... 0.730 eV per atom
Space-group type ... P4/mmm (123)

---

(6)
Computed, not measured: a crystal of InGaAsSe2 relaxed with PBEsol at the meta-GGA SCAN level of DFT.

Cell: 5.2544 5.2544 5.1314 Å, 90.00 90.00 90.00°
Fractional positions:
In  0.0000  0.0000  0.0000
Ga  0.5000  0.5000  0.5000
As  0.0000  0.0000  0.5000
Se  0.0000  0.5000  0.0000
Se  0.5000  0.0000  0.0000

V ... 28.33 A^3/atom
Electronic total energy ... -21.53 eV/atom
Uncorrected formation energy ... 0.485 eV per atom
Space-group type ... P4/mmm (123)

---

(7)
Computed, not measured: a crystal of GaAs2IrO relaxed with PBEsol at the meta-GGA SCAN level of DFT.

Cell: 4.2132 4.2132 4.1396 Å, 90.00 90.00 90.00°
Fractional positions:
Ga  0.0000  0.0000  0.0000
As  0.0000  0.5000  0.5000
As  0.5000  0.0000  0.5000
Ir  0.5000  0.5000  0.0000
O  0.0000  0.0000  0.5000

V ... 14.70 A^3/atom
Electronic total energy ... -26.52 eV/atom
Uncorrected formation energy ... 0.295 eV per atom
Space-group type ... P4/mmm (123)

---

(8)
Computed, not measured: a crystal of GaAs2IrPb relaxed with PBEsol at the meta-GGA SCAN level of DFT.

Cell: 4.8920 4.8920 4.6372 Å, 90.00 90.00 90.00°
Fractional positions:
Ga  0.0000  0.0000  0.0000
As  0.0000  0.5000  0.0000
As  0.5000  0.0000  0.0000
Ir  0.0000  0.0000  0.5000
Pb  0.5000  0.5000  0.5000

V ... 22.20 A^3/atom
Electronic total energy ... -39.90 eV/atom
Energy of formation from the pure elements ... 0.823 eV per atom
Space-group type ... P4/mmm (123)

---

- Which value of V does entry 3 give?
  15.35 A^3/atom